[1]
# Li3TeC

An optimized crystal structure of Li3TeC (GGA-PBEsol, the Alexandria database).

Unit cell a=4.170 b=4.170 c=4.170 alpha=90.00 beta=90.00 gamma=90.00
Fractional positions:
1 Li 0.000 0.000 0.500
2 Li 0.000 0.500 0.000
3 Li 0.500 0.000 0.000
4 Te 0.500 0.500 0.500
5 C 0.000 0.000 0.000

Values from the calculation:
Energy relative to the elements, uncorrected in kJ per mole of atoms: 24.11

---

[2]
# Ba2Tm2Zn8O13

An optimized crystal structure of Ba2Tm2Zn8O13 (GGA-PBEsol, the Alexandria database).

Unit cell a=6.320 b=6.320 c=10.087 alpha=90.43 beta=90.43 gamma=60.18
Fractional positions:
1 Ba 0.000 0.000 0.000
2 Ba 0.670 0.670 0.504
3 Tm 0.005 0.005 0.373
4 Tm 0.696 0.696 0.864
5 Zn 0.163 0.163 0.693
6 Zn 0.181 0.681 0.684
7 Zn 0.312 0.312 0.935
8 Zn 0.342 0.342 0.447
9 Zn 0.498 0.498 0.216
10 Zn 0.512 0.986 0.192
11 Zn 0.681 0.181 0.684
12 Zn 0.986 0.512 0.192
13 O 0.016 0.561 0.000
14 O 0.173 0.173 0.501
15 O 0.221 0.685 0.495
16 O 0.304 0.838 0.213
17 O 0.327 0.327 0.248
18 O 0.329 0.842 0.786
19 O 0.340 0.340 0.747
20 O 0.561 0.016 0.000
21 O 0.685 0.221 0.495
22 O 0.814 0.814 0.291
23 O 0.829 0.829 0.720
24 O 0.838 0.304 0.213
25 O 0.842 0.329 0.786

Values from the calculation:
Energy relative to the elements, uncorrected in kJ per mole of atoms: -197.10

---

[3]
# Sc2InBr

An optimized crystal structure of Sc2InBr (GGA-PBEsol, the Alexandria database).

Unit cell a=3.308 b=3.308 c=8.811 alpha=90.00 beta=90.00 gamma=113.26
Fractional positions:
1 Sc 0.000 0.000 0.240
2 Sc 0.000 0.000 0.760
3 In 0.500 0.500 0.500
4 Br 0.500 0.500 0.000

Values from the calculation:
Energy relative to the elements, uncorrected in kJ per mole of atoms: -51.33

---

[4]
# TaReRh2

An optimized crystal structure of TaReRh2 (GGA-PBEsol, the Alexandria database).

Unit cell a=4.712 b=4.712 c=4.805 alpha=99.65 beta=99.65 gamma=34.05
Fractional positions:
1 Ta 0.000 0.000 0.000
2 Re 0.247 0.247 0.700
3 Rh 0.502 0.502 0.502
4 Rh 0.750 0.750 0.224

Values from the calculation:
Calculated formation energy in eV per atom: -0.26

---

[5]
# Cr2NiAu

An optimized crystal structure of Cr2NiAu (GGA-PBEsol, the Alexandria database).

Unit cell a=2.586 b=2.586 c=7.980 alpha=90.00 beta=90.00 gamma=108.61
Fractional positions:
1 Cr 0.000 0.000 0.000
2 Cr 0.500 0.500 0.217
3 Ni 0.000 0.000 0.444
4 Au 0.500 0.500 0.716

Values from the calculation:
Calculated formation energy in eV per atom: 0.24

---

[6]
# Sc2TlAu

An optimized crystal structure of Sc2TlAu (GGA-PBEsol, the Alexandria database).

Unit cell a=3.480 b=4.841 c=4.852 alpha=90.00 beta=90.00 gamma=90.00
Fractional positions:
1 Sc 0.000 0.000 0.000
2 Sc 0.000 0.500 0.485
3 Tl 0.500 0.000 0.503
4 Au 0.500 0.500 0.978

Values from the calculation:
Calculated formation energy in eV per atom: -0.56

---

[7]
# ZrCd2Si

An optimized crystal structure of ZrCd2Si (GGA-PBEsol, the Alexandria database).

Unit cell a=5.367 b=5.367 c=5.367 alpha=136.43 beta=132.88 gamma=66.11
Fractional positions:
1 Zr 0.000 0.000 0.000
2 Cd 0.464 0.464 0.000
3 Cd 0.739 0.239 0.500
4 Si 0.227 0.727 0.500

Values from the calculation:
Energy relative to the elements, uncorrected in kJ per mole of atoms: -2.84

---

[8]
# ZnIrI3

An optimized crystal structure of ZnIrI3 (GGA-PBEsol, the Alexandria database).

Unit cell a=5.339 b=5.339 c=5.339 alpha=90.00 beta=90.00 gamma=90.00
Fractional positions:
1 Zn 0.000 0.000 0.000
2 Ir 0.500 0.500 0.500
3 I 0.000 0.500 0.500
4 I 0.500 0.000 0.500
5 I 0.500 0.500 0.000

Values from the calculation:
Energy relative to the elements, uncorrected in kJ per mole of atoms: 44.60

---

| no. | calculated total energy (eV per cell) |
| --- | --- |
| 1 | -17.8 |
| 2 | -146.1 |
| 3 | -20.2 |
| 4 | -43.2 |
| 5 | -29.6 |
| 6 | -22.0 |
| 7 | -17.3 |
| 8 | -14.4 |